Record 1
K2BaPd: optimized geometry, PBE.

Calculated values
total magnetic moment = 0.000 Bohr magnetons per cell
energy of formation = 6.4 kJ/mol of atoms

a b c (Å): 11.6510 11.6510 6.1273
angles (deg): 90.00 90.00 90.00
Last column: nearest neighbours and their distance in Å.
Space group I-42d (No. 122)
Asymmetric unit:
K1 0.1293 0.2500 0.1250  2 Pd 3.37
Ba1 0.0000 0.0000 0.5000  2 Pd 3.06
Pd1 0.0000 0.0000 0.0000  2 Ba 3.06, 4 K 3.37

=====

Record 2
RePd3W: optimized geometry, PBE.

Calculated values
offset from the most stable computed form = 0.00 eV/f.u.
total magnetic moment = 3.417 Bohr magnetons per cell
energy of formation = 185.8 kJ/mol of atoms

a b c (Å): 4.7565 4.7565 4.7565
angles (deg): 90.00 90.00 90.00
Last column: nearest neighbours and their distance in Å.
Space group Pm-3m (No. 221)
Asymmetric unit:
Re1 0.0000 0.0000 0.0000  12 Pd 3.36
Pd1 0.0000 0.5000 0.5000  2 W 2.38
W1 0.5000 0.5000 0.5000  6 Pd 2.38

=====

> Among the records above, which one has the lowest total magnetic moment?

K2BaPd

=====

> Which value of total magnetic moment does entry 2 give?

3.417 Bohr magnetons per cell